This record from Alexandria describes an optimized crystal structure of Sr3MnTe. The functional is GGA-PBE.

Computed properties:
Uncorrected formation energy: 0.018 eV per atom
ΔE to the lowest computed polymorph: 0 kJ/mol of formula units
Calculated volume: 48.8 Å³ per atom
Total magnetization: 4.7 Bohr magnetons per cell

Cell: 6.2486 6.2486 6.2486 Å, 90.00 90.00 90.00°
With the nearest neighbours (Å) after each atom.
Space group Pm-3m (No. 221)
Unique sites:
Sr 0.0000 0.0000 0.5000 x3  2 Te 3.12
Mn 0.5000 0.5000 0.5000 x1  12 Sr 4.42
Te 0.0000 0.0000 0.0000 x1  6 Sr 3.12

This record from Alexandria describes an optimized crystal structure of La3Nd2Hg. The functional is GGA-PBE.

Computed properties:
ΔE to the lowest computed polymorph: 0 kJ/mol of formula units
Calculated volume: 34.3 Å³ per atom
Total magnetization: 0.0 Bohr magnetons per cell
Energy of formation from the pure elements: -0.152 eV/atom

Cell: 3.7793 3.7793 14.4008 Å, 90.00 90.00 90.00°
With the nearest neighbours (Å) after each atom.
Space group P4/mmm (No. 123)
Unique sites:
La 0.0000 0.0000 0.0000 x1  8 Nd 3.70, 4 La 3.78
La 0.0000 0.0000 0.3572 x2  4 Hg 3.37, 4 Nd 3.72
Nd 0.5000 0.5000 0.1774 x2  8 La 3.70-3.72, 4 Nd 3.78
Hg 0.5000 0.5000 0.5000 x1  8 La 3.37

This record from Alexandria describes an optimized crystal structure of LaTbHo5. The functional is GGA-PBE.

Computed properties:
ΔE to the lowest computed polymorph: 619 kJ/mol of formula units
Calculated volume: 42.1 Å³ per atom
Total magnetization: 0.0 Bohr magnetons per cell
Energy of formation from the pure elements: 1.118 eV/atom

Cell: 5.7802 8.6124 11.8315 Å, 90.00 90.00 90.00°
With the nearest neighbours (Å) after each atom.
Space group Immm (No. 71)
Unique sites:
La 0.0000 0.0000 0.0000 x2  6 Ho 3.00-3.28
Tb 0.0000 0.0000 0.5000 x2  6 Ho 2.76-2.92
Ho 0.0000 0.0000 0.2533 x4  1 Tb 2.92, 1 La 3.00
Ho 0.0000 0.3205 0.5000 x4  1 Tb 2.76
Ho 0.0000 0.5000 0.0000 x2  2 Tb 2.89

This record from Alexandria describes an optimized crystal structure of KNb3S. The functional is GGA-PBE.

Computed properties:
Uncorrected formation energy: 0.692 eV per atom
ΔE to the lowest computed polymorph: 0 kJ/mol of formula units
Calculated volume: 21.8 Å³ per atom
Total magnetization: 0.0 Bohr magnetons per cell

Cell: 4.7750 4.7750 4.7750 Å, 90.00 90.00 90.00°
With the nearest neighbours (Å) after each atom.
Space group Pm-3m (No. 221)
Unique sites:
K 0.0000 0.0000 0.0000 x1  12 Nb 3.38
Nb 0.0000 0.5000 0.5000 x3  2 S 2.39
S 0.5000 0.5000 0.5000 x1  6 Nb 2.39

This record from Alexandria describes an optimized crystal structure of NbPd. The functional is GGA-PBE.

Computed properties:
Calculated volume: 18.5 Å³ per atom
Total magnetization: 0.0 Bohr magnetons per cell
Energy of formation from the pure elements: 0.261 eV/atom

Cell: 5.2683 5.2683 5.3352 Å, 90.00 90.00 90.00°
With the nearest neighbours (Å) after each atom.
Space group P4_2/mnm (No. 136)
Unique sites:
Nb 0.1761 0.1761 0.0000 x4  1 Nb 2.62, 6 Pd 2.67-2.77
Pd 0.1813 0.1813 0.5000 x4  6 Nb 2.67-2.77, 1 Pd 2.70

This record from Alexandria describes an optimized crystal structure of SnPd2I. The functional is GGA-PBE.

Computed properties:
Uncorrected formation energy: -0.029 eV per atom
ΔE to the lowest computed polymorph: 0 kJ/mol of formula units
Calculated volume: 21.0 Å³ per atom
Total magnetization: 0.0 Bohr magnetons per cell

Cell: 6.9551 6.9551 6.9551 Å, 90.00 90.00 90.00°
With the nearest neighbours (Å) after each atom.
Space group Fm-3m (No. 225)
Unique sites:
Sn 0.0000 0.0000 0.0000 x4  8 Pd 3.01
Pd 0.2500 0.2500 0.2500 x8  4 I 3.01, 4 Sn 3.01
I 0.0000 0.0000 0.5000 x4  8 Pd 3.01

This record from Alexandria describes an optimized crystal structure of Li2PrGaF8. The functional is GGA-PBE.

Computed properties:
Uncorrected formation energy: -3.151 eV per atom
Calculated volume: 12.7 Å³ per atom
Total magnetization: 0.1 Bohr magnetons per cell

Cell: 4.4016 4.9069 7.0764 Å, 95.41 90.26 92.01°
With the nearest neighbours (Å) after each atom.
Space group P-1 (No. 2)
Unique sites:
Li 0.0280 0.4698 0.3053 x2  5 F 2.00-2.05
Pr 0.5000 0.0000 0.0000 x1  6 F 2.28-2.42
Ga 0.5000 0.0000 0.5000 x1  6 F 1.89-1.99
F 0.0897 0.2687 0.0500 x2  1 Li 2.00
F 0.1879 0.2554 0.5104 x2  1 Ga 1.89, 2 Li 2.01-2.05
F 0.3292 0.7763 0.2731 x2  1 Ga 1.99, 1 Li 2.00
F 0.3311 0.7912 0.6977 x2  1 Ga 1.95, 1 Li 2.00

This record from Alexandria describes an optimized crystal structure of RbUH2F8. The functional is GGA-PBE.

Computed properties:
Calculated volume: 18.6 Å³ per atom
Total magnetization: 1.0 Bohr magnetons per cell
Final energy: -5.57 eV/atom

Cell: 5.7450 5.7450 7.8225 Å, 90.00 90.00 120.00°
With the nearest neighbours (Å) after each atom.
Space group P-3m1 (No. 164)
Unique sites:
Rb 0.0000 0.0000 0.0000 x1  12 F 3.08-3.39
U 0.0000 0.0000 0.5000 x1  6 F 2.08
H 0.3333 0.6667 0.2100 x2  1 F 0.94
F 0.1637 0.3273 0.6663 x6  1 U 2.08
F 0.3333 0.6667 0.0895 x2  1 H 0.94